A plane-wave DFT calculation with PBE was carried out for TlSn2F after structural relaxation.

a = 5.229 Å, b = 5.229 Å, c = 9.122 Å
α = 73.34°, β = 73.34°, γ = 90.00°
Positions (direct):
Tl 0.000 0.000 0.000
Tl 0.750 0.250 0.500
Sn 0.517 0.125 0.250
Sn 0.233 0.625 0.250
Sn 0.375 0.483 0.750
Sn 0.875 0.767 0.750
F 0.500 0.500 0.000
F 0.250 0.750 0.500

**Uncorrected formation energy**: -2.1 eV per formula unit
**Spin magnetization**: 0.000 μB/cell

A plane-wave DFT calculation with PBE was carried out for YZr2Pa after structural relaxation.

a = 3.270 Å, b = 3.270 Å, c = 11.170 Å
α = 81.58°, β = 81.58°, γ = 60.00°
Positions (direct):
Y 0.667 0.667 0.999
Zr 0.086 0.086 0.742
Zr 0.247 0.247 0.259
Pa 0.500 0.500 0.501

**Spin magnetization**: 0.000 μB/cell

A plane-wave DFT calculation with PBE was carried out for ScH4Rh2 after structural relaxation.

a = 2.972 Å, b = 5.165 Å, c = 8.033 Å
α = 90.00°, β = 90.00°, γ = 106.72°
Positions (direct):
Sc 0.599 0.198 0.750
Sc 0.401 0.802 0.250
H 0.751 0.502 0.114
H 0.751 0.502 0.386
H 0.249 0.498 0.886
H 0.249 0.498 0.614
H 0.950 0.899 0.750
H 0.050 0.101 0.250
H 0.500 0.000 0.000
H 0.500 0.000 0.500
Rh 0.133 0.266 0.443
Rh 0.867 0.734 0.943
Rh 0.133 0.266 0.057
Rh 0.867 0.734 0.557

**Spin magnetization**: 0.000 μB/cell

A plane-wave DFT calculation with PBE was carried out for CaPrMgBi after structural relaxation.

a = 5.577 Å, b = 5.577 Å, c = 5.577 Å
α = 60.00°, β = 60.00°, γ = 60.00°
Positions (direct):
Pr 0.500 0.500 0.500
Ca 0.000 0.000 0.000
Mg 0.250 0.250 0.250
Bi 0.750 0.750 0.750

**Spin magnetization**: 0.003 μB/cell

A plane-wave DFT calculation with PBE was carried out for Ta2MnCr after structural relaxation.

a = 5.176 Å, b = 5.176 Å, c = 5.176 Å
α = 145.34°, β = 130.93°, γ = 61.46°
Positions (direct):
Cr 0.494 0.494 0.000
Mn 0.255 0.755 0.500
Ta 0.008 0.008 0.000
Ta 0.744 0.244 0.500

**Spin magnetization**: 0.000 μB/cell

A plane-wave DFT calculation with PBE was carried out for Tb6SmCo2 after structural relaxation.

a = 8.560 Å, b = 8.560 Å, c = 8.560 Å
α = 108.55°, β = 106.82°, γ = 113.11°
Positions (direct):
Tb 0.489 0.297 0.193
Tb 0.511 0.703 0.807
Tb 0.896 0.703 0.193
Tb 0.104 0.297 0.807
Tb 0.227 0.779 0.006
Tb 0.773 0.221 0.994
Tb 0.773 0.779 0.553
Tb 0.227 0.221 0.447
Tb 0.302 0.997 0.694
Tb 0.698 0.003 0.306
Tb 0.698 0.392 0.694
Tb 0.302 0.608 0.306
Sm 0.000 0.500 0.500
Sm 0.000 0.000 0.000
Co 0.500 0.390 0.890
Co 0.500 0.610 0.110
Co 0.385 0.000 0.385
Co 0.615 0.000 0.615

**Spin magnetization**: 0.001 μB/cell

no.,VASP energy (eV per atom)
1,-3.60
2,-8.16
3,-5.30
4,-3.42
5,-10.66
6,-5.23